# MnCu2SF | the Alexandria database | PBE with a Hubbard U | optimized geometry
data_MnCu2SF
_symmetry_space_group_name_H-M 'P 4/m m m'
_symmetry_Int_Tables_number 123
_symmetry_space_group_name_Hall '-P 4 2'
_cell_length_a 4.153
_cell_length_b 4.153
_cell_length_c 4.518
_cell_angle_alpha 90.00
_cell_angle_beta 90.00
_cell_angle_gamma 90.00
loop_
_atom_site_label
_atom_site_type_symbol
_atom_site_fract_x
_atom_site_fract_y
_atom_site_fract_z
Mn1 Mn 0.000 0.000 0.000
Cu1 Cu 0.000 0.500 0.500
S1 S 0.500 0.500 0.000
F1 F 0.000 0.000 0.500
# * crystal system: tetragonal
# * DOS at the Fermi energy: 2.0 states/eV/f.u.
# * calculated total energy: -4.4148 eV/atom
# * theoretical density: 5.0 g/cm3